[1]
Computed, not measured: Fe2NiAg at its PBEsol-relaxed geometry at the meta-GGA SCAN level of DFT.

Structure (POSCAR):
```
Fe2NiAg
1.0
3.610 0.000 0.000
0.000 3.610 0.000
0.000 0.000 3.805
Fe Ni Ag
2 1 1
Direct
0.500 0.500 0.000
0.000 0.000 0.000
0.500 0.000 0.500
0.000 0.500 0.500
```

Computed properties:
Energy of formation ... 0.164 eV per atom
Energy relative to the lowest polymorph listed for this composition ... 0.0172 eV/atom

---

[2]
Computed, not measured: AlBi3B at its PBEsol-relaxed geometry at the meta-GGA SCAN level of DFT.

Structure (POSCAR):
```
AlBi3B
1.0
5.338 0.000 0.000
0.000 5.338 0.000
0.000 0.000 5.338
B Bi Al
1 3 1
Direct
0.500 0.500 0.500
0.000 0.500 0.000
0.000 0.000 0.500
0.500 0.000 0.000
0.000 0.000 0.000
```

Computed properties:
Energy of formation ... 1.435 eV per atom

---

[3]
Computed, not measured: TlRuSe2Br at its PBEsol-relaxed geometry at the meta-GGA SCAN level of DFT.

Structure (POSCAR):
```
TlRuSe2Br
1.0
-5.189 0.389 0.538
-0.656 -2.357 -4.624
-0.104 -4.809 2.466
Br Se Tl Ru
1 2 1 1
Direct
0.000 0.000 0.500
0.500 0.000 0.000
0.000 0.500 0.000
0.000 0.000 0.000
0.500 0.500 0.500
```

Computed properties:
ΔE_f (raw) ... 1.1058 eV/atom

---

The following calculated volume values (in Å³/atom) correspond, in order, to the records above: 12.397, 30.412, 29.588.